DFT (SCAN) results for a PBEsol-optimized structure of CaH2CO4.

Values from the calculation:
The density of states at the Fermi level is 0.00 states/eV/f.u. The value obtained for the total energy is -602.776 eV for the cell shown. The total moment is 0.00 μB per formula unit.

Lattice parameters (Å, degrees): 10.4267 10.4267 7.5011 90.00 90.00 120.00
Positions (direct):
Ca1 0.1858 0.0844 0.0000
Ca2 0.2394 0.7584 0.3211
Ca3 0.2416 0.4810 0.6545
Ca4 0.5190 0.7606 0.9878
Ca5 0.5722 0.4244 0.3078
Ca6 0.5756 0.1478 0.6411
Ca7 0.8522 0.4278 0.9745
Ca8 0.8986 0.8142 0.6667
Ca9 0.9156 0.1014 0.3333
H1 0.0019 0.5467 0.5715
H2 0.1109 0.7731 0.9008
H3 0.1246 0.3296 0.0717
H4 0.2049 0.8754 0.7384
H5 0.2269 0.3378 0.2341
H6 0.3323 0.1195 0.4006
H7 0.3344 0.2201 0.5620
H8 0.4491 0.0031 0.0755
H9 0.4533 0.4552 0.9048
H10 0.5448 0.9981 0.2382
H11 0.5540 0.5509 0.7421
H12 0.6622 0.8891 0.5675
H13 0.6704 0.7951 0.4051
H14 0.7799 0.1143 0.8953
H15 0.7873 0.6677 0.0673
H16 0.8805 0.2127 0.7339
H17 0.8857 0.6656 0.2287
H18 0.9969 0.4460 0.4088
C1 0.0804 0.1757 0.7065
C2 0.0953 0.9196 0.3732
C3 0.1581 0.5654 0.0272
C4 0.4073 0.8419 0.6939
C5 0.4346 0.5927 0.3606
C6 0.4902 0.2527 0.9402
C7 0.7473 0.2375 0.2735
C8 0.7625 0.5098 0.6069
C9 0.8243 0.9047 0.0399
O1 0.0222 0.7772 0.3974
O2 0.0230 0.2364 0.6058
O3 0.0572 0.0021 0.4569
O4 0.0672 0.5291 0.4881
O5 0.0871 0.6373 0.0535
O6 0.0985 0.4481 0.9266
O7 0.1251 0.8591 0.8258
O8 0.1409 0.2660 0.1591
O9 0.2134 0.9770 0.2724
O10 0.2228 0.2449 0.7307
O11 0.2796 0.6063 0.1103
O12 0.3266 0.7204 0.7770
O13 0.3496 0.9015 0.5932
O14 0.3627 0.4498 0.3868
O15 0.3937 0.6734 0.4437
O16 0.4012 0.2025 0.4829
O17 0.4208 0.1098 0.9160
O18 0.4311 0.3098 0.0429
O19 0.4619 0.9328 0.1548
O20 0.4709 0.5381 0.8215
O21 0.5502 0.9129 0.7202
O22 0.5519 0.6504 0.2599
O23 0.6098 0.3348 0.8542
O24 0.6652 0.2750 0.1875
O25 0.6890 0.5792 0.5827
O26 0.6902 0.1213 0.3762
O27 0.7250 0.3902 0.5209
O28 0.7340 0.8749 0.4925
O29 0.7551 0.9778 0.0640
O30 0.7636 0.7866 0.9391
O31 0.7975 0.1987 0.8162
O32 0.8013 0.5988 0.1495
O33 0.8787 0.5689 0.7095
O34 0.8902 0.3110 0.2493
O35 0.9450 0.9428 0.1236
O36 0.9979 0.0550 0.7902



DFT (SCAN) results for a PBEsol-optimized structure of CaH6C2O7.

Values from the calculation:
The density of states at the Fermi level is 0.00 states/eV/f.u. The value obtained for the total energy is -235.171 eV for the cell shown. The total moment is 0.00 μB per formula unit.

Lattice parameters (Å, degrees): 6.1770 7.0376 8.2855 75.08 70.65 69.39
Positions (direct):
Ca1 0.1053 0.2645 0.1900
Ca2 0.8947 0.7355 0.8100
H1 0.1703 0.2223 0.8312
H2 0.1955 0.0089 0.5834
H3 0.2887 0.9822 0.9100
H4 0.2929 0.8541 0.3902
H5 0.3520 0.8107 0.6863
H6 0.4626 0.8681 0.1966
H7 0.5374 0.1319 0.8034
H8 0.6480 0.1893 0.3137
H9 0.7071 0.1459 0.6098
H10 0.7113 0.0178 0.0900
H11 0.8045 0.9911 0.4166
H12 0.8297 0.7777 0.1688
C1 0.0606 0.3984 0.5530
C2 0.4162 0.5778 0.9457
C3 0.5838 0.4222 0.0543
C4 0.9394 0.6016 0.4470
O1 0.0648 0.4113 0.7009
O2 0.1439 0.2409 0.4812
O3 0.2256 0.5432 0.9556
O4 0.2296 0.8547 0.6193
O5 0.2498 0.1269 0.9242
O6 0.2914 0.9005 0.2664
O7 0.4864 0.7311 0.8526
O8 0.5136 0.2689 0.1474
O9 0.7086 0.0995 0.7336
O10 0.7502 0.8731 0.0758
O11 0.7704 0.1453 0.3807
O12 0.7744 0.4568 0.0444
O13 0.8561 0.7591 0.5188
O14 0.9352 0.5887 0.2991